# 1
Here is MnInBS2 after structural relaxation from Alexandria. Energies are from PBE-GGA.

For the formation energy (no corrections), the calculation gives 0.8097 eV/atom.

a = 4.382 Å, b = 4.382 Å, c = 3.962 Å
α = 90.00°, β = 90.00°, γ = 90.00°
Space group P4/mmm (No. 123)
Unique sites:
1 Mn 0.000 0.000 0.000 (multiplicity 1)
2 In 0.500 0.500 0.000 (multiplicity 1)
3 B 0.000 0.000 0.500 (multiplicity 1)
4 S 0.000 0.500 0.500 (multiplicity 2)

# 2
Here is MnInB2S after structural relaxation from Alexandria. Energies are from PBE-GGA.

For the formation energy (no corrections), the calculation gives 0.9815 eV/atom.

a = 3.875 Å, b = 3.875 Å, c = 5.477 Å
α = 90.00°, β = 90.00°, γ = 90.00°
Space group P4/mmm (No. 123)
Unique sites:
1 Mn 0.000 0.000 0.000 (multiplicity 1)
2 In 0.000 0.000 0.500 (multiplicity 1)
3 B 0.000 0.500 0.000 (multiplicity 2)
4 S 0.500 0.500 0.500 (multiplicity 1)

# 3
Here is MnInBSe2 after structural relaxation from Alexandria. Energies are from PBE-GGA.

For the formation energy (no corrections), the calculation gives 1.6107 eV/atom.

a = 5.390 Å, b = 5.390 Å, c = 4.226 Å
α = 90.00°, β = 90.00°, γ = 90.00°
Space group P4/mmm (No. 123)
Unique sites:
1 Mn 0.000 0.000 0.000 (multiplicity 1)
2 In 0.500 0.500 0.500 (multiplicity 1)
3 B 0.500 0.500 0.000 (multiplicity 1)
4 Se 0.000 0.500 0.500 (multiplicity 2)

# 4
Here is MnInSnB2 after structural relaxation from Alexandria. Energies are from PBE-GGA.

For the energy relative to the elements, the calculation gives 2.01 eV per atom.

a = 4.293 Å, b = 4.293 Å, c = 5.196 Å
α = 90.00°, β = 90.00°, γ = 90.00°
Space group P4/mmm (No. 123)
Unique sites:
1 Mn 0.000 0.000 0.000 (multiplicity 1)
2 In 0.000 0.000 0.500 (multiplicity 1)
3 Sn 0.500 0.500 0.000 (multiplicity 1)
4 B 0.000 0.500 0.500 (multiplicity 2)

# 5
Here is YMnIn2B after structural relaxation from Alexandria. Energies are from PBE-GGA.

For the energy relative to the elements, the calculation gives 0.42 eV per atom.

a = 4.796 Å, b = 4.796 Å, c = 4.124 Å
α = 90.00°, β = 90.00°, γ = 90.00°
Space group P4/mmm (No. 123)
Unique sites:
1 Y 0.000 0.000 0.000 (multiplicity 1)
2 Mn 0.500 0.500 0.000 (multiplicity 1)
3 In 0.000 0.500 0.500 (multiplicity 2)
4 B 0.500 0.500 0.500 (multiplicity 1)

# 6
Here is InB2Mo2 after structural relaxation from Alexandria. Energies are from PBE-GGA.

As for the energy above the most stable polymorph in this dataset: 0 meV/atom. For the energy relative to the elements, the calculation gives 0.07 eV per atom.

a = 6.169 Å, b = 6.169 Å, c = 3.245 Å
α = 90.00°, β = 90.00°, γ = 90.00°
Space group P4/mbm (No. 127)
Unique sites:
1 In 0.000 0.000 0.000 (multiplicity 2)
2 B 0.104 0.396 0.000 (multiplicity 4)
3 Mo 0.167 0.667 0.500 (multiplicity 4)